No. 1
Entry from the Open Quantum Materials Database: a relaxed structure of PrTaTe (GGA-PBE).

Results
Calculated volume = 33.0 A^3/atom
Raw total energy = -5.66 eV per atom
ΔE to the lowest computed polymorph = 559 meV/atom
SG = F-43m, No. 216

Lattice parameters (Å, degrees): 5.1924 5.1924 5.1924 60.00 60.00 60.00
Last column: nearest neighbours and their distance in Å.
Positions (direct):
Ta: 0.2500 0.2500 0.2500  4 Pr 3.18
Pr: 0.0000 0.0000 0.0000  4 Ta 3.18, 4 Te 3.18
Te: 0.7500 0.7500 0.7500  4 Pr 3.18

=====

No. 2
Entry from the Open Quantum Materials Database: a relaxed structure of PrTaTl (GGA-PBE).

Results
Calculated volume = 28.7 A^3/atom
Raw total energy = -5.48 eV per atom
ΔE to the lowest computed polymorph = 0 meV/atom
SG = F-43m, No. 216

Lattice parameters (Å, degrees): 4.9589 4.9589 4.9589 60.00 60.00 60.00
Last column: nearest neighbours and their distance in Å.
Positions (direct):
Tl: 0.0000 0.0000 0.0000  4 Ta 3.04, 4 Pr 3.04
Pr: 0.2500 0.2500 0.2500  4 Tl 3.04
Ta: 0.7500 0.7500 0.7500  4 Tl 3.04

=====

No. 3
Entry from the Open Quantum Materials Database: a relaxed structure of PrTaTl (GGA-PBE).

Results
Calculated volume = 31.6 A^3/atom
Raw total energy = -5.06 eV per atom
ΔE to the lowest computed polymorph = 426 meV/atom
SG = F-43m, No. 216

Lattice parameters (Å, degrees): 5.1190 5.1190 5.1190 60.00 60.00 60.00
Last column: nearest neighbours and their distance in Å.
Positions (direct):
Pr: 0.0000 0.0000 0.0000  4 Ta 3.13, 4 Tl 3.13
Tl: 0.7500 0.7500 0.7500  4 Pr 3.13
Ta: 0.2500 0.2500 0.2500  4 Pr 3.13

=====

No. 4
Entry from the Open Quantum Materials Database: a relaxed structure of PrTmTa (GGA-PBE).

Results
Calculated volume = 30.4 A^3/atom
Formation energy = 1.27 eV/atom
Raw total energy = -5.76 eV per atom
SG = F-43m, No. 216

Lattice parameters (Å, degrees): 5.0505 5.0505 5.0505 60.00 60.00 60.00
Last column: nearest neighbours and their distance in Å.
Positions (direct):
Tm: 0.0000 0.0000 0.0000  4 Ta 3.09, 4 Pr 3.09
Ta: 0.7500 0.7500 0.7500  4 Tm 3.09
Pr: 0.2500 0.2500 0.2500  4 Tm 3.09

=====

No. 5
Entry from the Open Quantum Materials Database: a relaxed structure of PrTaW (GGA-PBE).

Results
Calculated volume = 24.3 A^3/atom
Formation energy = 0.92 eV/atom
Raw total energy = -8.94 eV per atom
SG = F-43m, No. 216

Lattice parameters (Å, degrees): 4.6879 4.6879 4.6879 60.00 60.00 60.00
Last column: nearest neighbours and their distance in Å.
Positions (direct):
Pr: 0.2500 0.2500 0.2500  4 W 2.87
W: 0.0000 0.0000 0.0000  4 Ta 2.87, 4 Pr 2.87
Ta: 0.7500 0.7500 0.7500  4 W 2.87

=====

No. 6
Entry from the Open Quantum Materials Database: a relaxed structure of PrYTa (GGA-PBE).

Results
Calculated volume = 31.3 A^3/atom
Formation energy = 1.34 eV/atom
Raw total energy = -6.36 eV per atom
ΔE to the lowest computed polymorph = 0 meV/atom
SG = F-43m, No. 216

Lattice parameters (Å, degrees): 5.1009 5.1009 5.1009 60.00 60.00 60.00
Last column: nearest neighbours and their distance in Å.
Positions (direct):
Pr: 0.2500 0.2500 0.2500  4 Y 3.12
Y: 0.0000 0.0000 0.0000  4 Pr 3.12, 4 Ta 3.12
Ta: 0.7500 0.7500 0.7500  4 Y 3.12

=====

No. 7
Entry from the Open Quantum Materials Database: a relaxed structure of TbPr2 (GGA-PBE).

Results
Calculated volume = 93.3 A^3/atom
Formation energy = 2.12 eV/atom
Raw total energy = -2.61 eV per atom
ΔE to the lowest computed polymorph = 1854 meV/atom
SG = Fd-3m, No. 227

Lattice parameters (Å, degrees): 9.2497 9.2497 9.2497 60.00 60.00 60.00
Last column: nearest neighbours and their distance in Å.
Positions (direct):
Tb: 0.2500 0.2500 0.2500  4 Pr 2.83
Pr: 0.3750 0.3750 0.3750  2 Tb 2.83
Pr: 0.3750 0.8750 0.3750  2 Tb 2.83
Tb: 0.5000 0.5000 0.5000  4 Pr 2.83
Pr: 0.8750 0.3750 0.3750  2 Tb 2.83
Pr: 0.3750 0.3750 0.8750  2 Tb 2.83

=====

No. 8
Entry from the Open Quantum Materials Database: a relaxed structure of TbPr (GGA-PBE).

Results
Calculated volume = 34.3 A^3/atom
Formation energy = 0.03 eV/atom
Raw total energy = -4.67 eV per atom
ΔE to the lowest computed polymorph = 0 meV/atom
SG = P-6m2, No. 187

Lattice parameters (Å, degrees): 3.6595 3.6594 5.9094 90.00 90.00 120.00
Last column: nearest neighbours and their distance in Å.
Positions (direct):
Tb: 0.3333 0.6667 0.2500  6 Pr 3.63, 6 Tb 3.66
Pr: 0.6667 0.3333 0.7500  6 Tb 3.63, 6 Pr 3.66

=====

No. 9
Entry from the Open Quantum Materials Database: a relaxed structure of TbPr (GGA-PBE).

Results
Calculated volume = 34.7 A^3/atom
Formation energy = 0.66 eV/atom
Raw total energy = -4.05 eV per atom
ΔE to the lowest computed polymorph = 622 meV/atom
SG = Fm-3m, No. 225

Lattice parameters (Å, degrees): 4.6115 4.6115 4.6115 60.00 60.00 60.00
Last column: nearest neighbours and their distance in Å.
Positions (direct):
Pr: 0.0000 0.0000 0.0000  6 Tb 3.26
Tb: 0.5000 0.5000 0.5000  6 Pr 3.26

=====

No. 10
Entry from the Open Quantum Materials Database: a relaxed structure of TbPr (GGA-PBE).

Results
Calculated volume = 42.1 A^3/atom
Formation energy = 1.70 eV/atom
Raw total energy = -3.00 eV per atom
ΔE to the lowest computed polymorph = 1668 meV/atom
SG = F-43m, No. 216

Lattice parameters (Å, degrees): 4.9189 4.9189 4.9189 60.00 60.00 60.00
Last column: nearest neighbours and their distance in Å.
Positions (direct):
Pr: 0.0000 0.0000 0.0000  4 Tb 3.01
Tb: 0.2500 0.2500 0.2500  4 Pr 3.01

=====

No. 11
Entry from the Open Quantum Materials Database: a relaxed structure of Tb2PrTe3 (GGA-PBE).

Results
Calculated volume = 30.6 A^3/atom
Raw total energy = -5.27 eV per atom
SG = P-3m1, No. 164

Lattice parameters (Å, degrees): 4.4029 4.4029 10.9294 90.00 90.00 120.00
Last column: nearest neighbours and their distance in Å.
Positions (direct):
Te: 0.3333 0.6667 0.1787  3 Tb 3.08, 3 Pr 3.21
Tb: 0.3333 0.6667 0.6621  6 Te 3.08-3.10
Pr: 0.0000 0.0000 0.0000  6 Te 3.21
Tb: 0.6667 0.3333 0.3379  6 Te 3.08-3.10
Te: 0.0000 0.0000 0.5000  6 Tb 3.10
Te: 0.6667 0.3333 0.8213  3 Tb 3.08, 3 Pr 3.21

=====

No. 12
Entry from the Open Quantum Materials Database: a relaxed structure of TbPr5Te6 (GGA-PBE).

Results
Calculated volume = 32.3 A^3/atom
Raw total energy = -5.37 eV per atom
SG = C2/m, No. 12

Lattice parameters (Å, degrees): 7.8095 7.8095 7.7828 99.60 99.60 120.07
Last column: nearest neighbours and their distance in Å.
Positions (direct):
Tb: 0.0000 0.0000 0.0000  6 Te 3.09-3.12
Pr: 0.1745 0.8255 0.5000  6 Te 3.18-3.23
Pr: 0.5000 0.5000 0.5000  6 Te 3.18-3.24
Pr: 0.3324 0.6676 0.0000  6 Te 3.18-3.22
Pr: 0.8255 0.1745 0.5000  6 Te 3.18-3.23
Te: 0.2407 0.2407 0.7502  1 Tb 3.12, 5 Pr 3.22-3.24
Te: 0.5952 0.9186 0.7564  1 Tb 3.09, 5 Pr 3.18-3.20
Te: 0.7593 0.7593 0.2498  1 Tb 3.12, 5 Pr 3.22-3.24
Te: 0.9186 0.5952 0.7564  1 Tb 3.09, 5 Pr 3.18-3.20
Pr: 0.6676 0.3324 0.0000  6 Te 3.18-3.22
Te: 0.0814 0.4048 0.2436  1 Tb 3.09, 5 Pr 3.18-3.20
Te: 0.4048 0.0814 0.2436  1 Tb 3.09, 5 Pr 3.18-3.20

=====

No. 13
Entry from the Open Quantum Materials Database: a relaxed structure of TbPrTe (GGA-PBE).

Results
Calculated volume = 32.6 A^3/atom
Raw total energy = -4.79 eV per atom
SG = F-43m, No. 216

Lattice parameters (Å, degrees): 5.1719 5.1719 5.1719 60.00 60.00 60.00
Last column: nearest neighbours and their distance in Å.
Positions (direct):
Te: 0.0000 0.0000 0.0000  4 Tb 3.17, 4 Pr 3.17
Tb: 0.7500 0.7500 0.7500  4 Te 3.17
Pr: 0.2500 0.2500 0.2500  4 Te 3.17

=====

No. 14
Entry from the Open Quantum Materials Database: a relaxed structure of TbPrTe4 (GGA-PBE).

Results
Calculated volume = 30.4 A^3/atom
Raw total energy = -4.88 eV per atom
SG = P4mm, No. 99

Lattice parameters (Å, degrees): 4.4858 4.4858 9.0758 90.00 90.00 90.00
Last column: nearest neighbours and their distance in Å.
Positions (direct):
Te: 0.0000 0.5000 0.9948  4 Te 3.17, 2 Tb 3.30, 2 Pr 3.37
Te: 0.5000 0.5000 0.3760  1 Tb 3.20, 4 Pr 3.31
Pr: 0.0000 0.0000 0.2713  9 Te 3.30-3.37
Te: 0.0000 0.0000 0.6346  4 Tb 3.28, 1 Pr 3.30
Te: 0.5000 0.0000 0.9948  4 Te 3.17, 2 Tb 3.30, 2 Pr 3.37
Tb: 0.5000 0.5000 0.7285  9 Te 3.20-3.30

=====

No. 15
Entry from the Open Quantum Materials Database: a relaxed structure of TbPrZnTe3 (GGA-PBE).

Results
Calculated volume = 28.8 A^3/atom
Raw total energy = -4.35 eV per atom
SG = Cmcm, No. 63

Lattice parameters (Å, degrees): 7.9377 7.9377 10.6347 90.00 90.00 149.00
Last column: nearest neighbours and their distance in Å.
Positions (direct):
Pr: 0.7260 0.2740 0.7500  6 Te 3.25-3.26
Te: 0.8516 0.1484 0.4526  1 Zn 2.88, 2 Tb 3.15
Zn: 0.9765 0.0235 0.2500  4 Te 2.88-2.97
Tb: 0.5000 0.5000 0.0000  6 Te 3.15-3.16, 4 Zn 3.42
Te: 0.6120 0.3880 0.2500  2 Zn 2.97, 2 Tb 3.16, 2 Pr 3.26
Zn: 0.0235 0.9765 0.7500  4 Te 2.88-2.97
Te: 0.3880 0.6120 0.7500  2 Zn 2.97, 2 Tb 3.16, 2 Pr 3.26
Te: 0.1484 0.8516 0.9526  1 Zn 2.88, 2 Tb 3.15
Te: 0.8516 0.1484 0.0474  1 Zn 2.88, 2 Tb 3.15
Pr: 0.2740 0.7260 0.2500  6 Te 3.25-3.26
Tb: 0.5000 0.5000 0.5000  6 Te 3.15-3.16, 4 Zn 3.42
Te: 0.1484 0.8516 0.5474  1 Zn 2.88, 2 Tb 3.15

=====

No. 16
Entry from the Open Quantum Materials Database: a relaxed structure of TbPrTl2 (GGA-PBE).

Results
Calculated volume = 28.7 A^3/atom
Raw total energy = -3.91 eV per atom
SG = P4/mmm, No. 123

Lattice parameters (Å, degrees): 3.8552 3.8552 7.7132 90.00 90.00 90.00
Last column: nearest neighbours and their distance in Å.
Positions (direct):
Tl: 0.5000 0.5000 0.7627  4 Tb 3.28, 4 Pr 3.40, 1 Tl 3.66
Tb: 0.0000 0.0000 0.0000  8 Tl 3.28
Pr: 0.0000 0.0000 0.5000  8 Tl 3.40
Tl: 0.5000 0.5000 0.2373  4 Tb 3.28, 4 Pr 3.40, 1 Tl 3.66

=====

No. 17
Entry from the Open Quantum Materials Database: a relaxed structure of TbPrTl (GGA-PBE).

Results
Calculated volume = 34.5 A^3/atom
Raw total energy = -3.96 eV per atom
SG = F-43m, No. 216

Lattice parameters (Å, degrees): 5.2700 5.2700 5.2700 60.00 60.00 60.00
Last column: nearest neighbours and their distance in Å.
Positions (direct):
Tb: 0.7500 0.7500 0.7500  4 Tl 3.23
Pr: 0.2500 0.2500 0.2500  4 Tl 3.23
Tl: 0.0000 0.0000 0.0000  4 Tb 3.23, 4 Pr 3.23

=====

No. 18
Entry from the Open Quantum Materials Database: a relaxed structure of TbPrTm (GGA-PBE).

Results
Calculated volume = 38.3 A^3/atom
Formation energy = 0.70 eV/atom
Raw total energy = -3.93 eV per atom
ΔE to the lowest computed polymorph = 0 meV/atom
SG = F-43m, No. 216

Lattice parameters (Å, degrees): 5.4571 5.4571 5.4571 60.00 60.00 60.00
Last column: nearest neighbours and their distance in Å.
Positions (direct):
Pr: 0.2500 0.2500 0.2500  4 Tm 3.34
Tm: 0.0000 0.0000 0.0000  4 Pr 3.34, 4 Tb 3.34
Tb: 0.7500 0.7500 0.7500  4 Tm 3.34

=====

No. 19
Entry from the Open Quantum Materials Database: a relaxed structure of TbPrU (GGA-PBE).

Results
Calculated volume = 35.0 A^3/atom
Formation energy = 1.25 eV/atom
Raw total energy = -5.65 eV per atom
ΔE to the lowest computed polymorph = 0 meV/atom
SG = F-43m, No. 216

Lattice parameters (Å, degrees): 5.2967 5.2967 5.2967 60.00 60.00 60.00
Last column: nearest neighbours and their distance in Å.
Positions (direct):
U: 0.0000 0.0000 0.0000  4 Tb 3.24, 4 Pr 3.24
Tb: 0.7500 0.7500 0.7500  4 U 3.24
Pr: 0.2500 0.2500 0.2500  4 U 3.24

=====

No. 20
Entry from the Open Quantum Materials Database: a relaxed structure of TbPrW (GGA-PBE).

Results
Calculated volume = 28.4 A^3/atom
Formation energy = 0.85 eV/atom
Raw total energy = -6.61 eV per atom
SG = F-43m, No. 216

Lattice parameters (Å, degrees): 4.9403 4.9403 4.9403 60.00 60.00 60.00
Last column: nearest neighbours and their distance in Å.
Positions (direct):
W: 0.0000 0.0000 0.0000  4 Tb 3.03, 4 Pr 3.03
Pr: 0.2500 0.2500 0.2500  4 W 3.03
Tb: 0.7500 0.7500 0.7500  4 W 3.03